Record 1
## Ca2ZnIn2 (GGA-PBE)

Data for a geometry-optimized Ca2ZnIn2 structure.

a = 4.1222 Å, b = 4.1222 Å, c = 17.9442 Å
α = 90.00°, β = 90.00°, γ = 90.00°
Space group I4/mmm (No. 139)
One atom of each set of equivalent atoms:
Ca 0.0000 0.0000 0.0957 [4 per cell]
Zn 0.0000 0.0000 0.5000 [2 per cell]
In 0.0000 0.5000 0.2500 [4 per cell]

=====

Record 2
## AgHgClF2 (GGA-PBE)

Data for a geometry-optimized AgHgClF2 structure.

For the energy relative to the elements, uncorrected, the calculation gives -95.7 kJ per mole of atoms.

a = 6.2445 Å, b = 4.4865 Å, c = 7.9337 Å
α = 90.00°, β = 110.60°, γ = 90.00°
Space group P2_1/m (No. 11)
One atom of each set of equivalent atoms:
Ag 0.2090 0.2500 0.4584 [2 per cell]
Hg 0.1841 0.2500 0.9146 [2 per cell]
Cl 0.4890 0.2500 0.7935 [2 per cell]
F 0.0181 0.2500 0.1158 [2 per cell]
F 0.0924 0.7500 0.3834 [2 per cell]

=====

Record 3
## MgTa2Cl (GGA-PBE)

Data for a geometry-optimized MgTa2Cl structure.

For the energy relative to the elements, uncorrected, the calculation gives -5.4 kJ per mole of atoms.

a = 3.0369 Å, b = 3.0255 Å, c = 8.7654 Å
α = 90.00°, β = 93.20°, γ = 90.00°
Space group Pm (No. 6)
One atom of each set of equivalent atoms:
Mg 0.0000 0.0000 0.0000 [1 per cell]
Ta 0.5359 0.5000 0.2465 [1 per cell]
Ta 0.9514 0.0000 0.4787 [1 per cell]
Cl 0.9616 0.5000 0.7139 [1 per cell]

=====

| no. | E_tot (eV per atom) |
| --- | --- |
| 1 | -2.2288 |
| 2 | -2.7399 |
| 3 | -6.8426 |